# Rb2YIn2 PBE optimized geometry
# **Density of states at the Fermi level**: 2.02 states/eV/atom
data_Rb2YIn2
_cell_length_a 8.155
_cell_length_b 8.155
_cell_length_c 6.429
_cell_angle_alpha 90.00
_cell_angle_beta 90.00
_cell_angle_gamma 90.00
_symmetry_space_group_name_H-M 'P 4/m b m'
_symmetry_Int_Tables_number 127
_symmetry_space_group_name_Hall '-P 4 2ab'
loop_
_atom_site_label
_atom_site_type_symbol
_atom_site_fract_x
_atom_site_fract_y
_atom_site_fract_z
Rb1 Rb 0.177 0.323 0.000
Y1 Y 0.000 0.000 0.500
In1 In 0.129 0.629 0.500


# RbZnIn PBE optimized geometry
# **Density of states at the Fermi level**: 0.77 states/eV/atom
# **Offset from the most stable computed form**: 75.4 meV/atom
data_RbZnIn
_cell_length_a 4.8597
_cell_length_b 4.8597
_cell_length_c 5.3786
_cell_angle_alpha 90.00
_cell_angle_beta 90.00
_cell_angle_gamma 120.00
_symmetry_space_group_name_H-M 'P -6 m 2'
_symmetry_Int_Tables_number 187
_symmetry_space_group_name_Hall 'P -6 2'
loop_
_atom_site_label
_atom_site_type_symbol
_atom_site_fract_x
_atom_site_fract_y
_atom_site_fract_z
Rb1 Rb 0.0000 0.0000 0.0000
Zn1 Zn 0.3333 0.6667 0.5000
In1 In 0.6667 0.3333 0.5000


# Rb2Zn2In PBE optimized geometry
# **Density of states at the Fermi level**: 0.70 states/eV/atom
# **Offset from the most stable computed form**: 230.9 meV/atom
data_Rb2Zn2In
_cell_length_a 5.591
_cell_length_b 5.591
_cell_length_c 13.262
_cell_angle_alpha 90.00
_cell_angle_beta 90.00
_cell_angle_gamma 90.00
_symmetry_space_group_name_H-M 'I 4/m m m'
_symmetry_Int_Tables_number 139
_symmetry_space_group_name_Hall '-I 4 2'
loop_
_atom_site_label
_atom_site_type_symbol
_atom_site_fract_x
_atom_site_fract_y
_atom_site_fract_z
Rb1 Rb 0.000 0.500 0.250
Zn1 Zn 0.000 0.000 0.093
In1 In 0.000 0.000 0.500


no.,calculated volume (Å³/atom),spin magnetization (μB/cell),energy of formation (eV/f.u.)
1,42.75,0.0,0.8
2,36.67,0.0,0.2
3,41.45,0.0,1.8